# GGA-PBE Y2Os3, relaxed
# - Calculated formation energy: -159 meV/atom
# - Crystal system: orthorhombic
# - Offset from the most stable computed form: 0 meV/atom
# - Volume: 103.6 Å³/f.u.
# - DOS(E_F): 4.59 states/eV/f.u.
# - Spin magnetization: 0.00 μB/f.u.
data_Y2Os3
_space_group_name_H-M_alt 'C m c e'
_space_group_IT_number 64
_space_group_name_Hall '-C 2ac 2'
_cell_length_a 5.193
_cell_length_b 10.083
_cell_length_c 7.917
_cell_angle_alpha 90.00
_cell_angle_beta 90.00
_cell_angle_gamma 90.00
loop_
_atom_site_label
_atom_site_type_symbol
_atom_site_fract_x
_atom_site_fract_y
_atom_site_fract_z
Y1 Y 0.000 0.156 0.097
Os1 Os 0.000 0.000 0.500
Os2 Os 0.250 0.096 0.750

# GGA-PBE PmPr4Y8, relaxed
# - Calculated formation energy: 517 meV/atom
# - Crystal system: trigonal
# - Volume: 491.5 Å³/f.u.
# - DOS(E_F): 22.56 states/eV/f.u.
# - Spin magnetization: 2.54 μB/f.u.
data_PmPr4Y8
_space_group_name_H-M_alt 'R -3 m'
_space_group_IT_number 166
_space_group_name_Hall '-R 3 2"'
_cell_length_a 11.1669
_cell_length_b 11.1669
_cell_length_c 13.6547
_cell_angle_alpha 90.00
_cell_angle_beta 90.00
_cell_angle_gamma 120.00
loop_
_atom_site_label
_atom_site_type_symbol
_atom_site_fract_x
_atom_site_fract_y
_atom_site_fract_z
Pm1 Pm 0.0000 0.0000 0.0000
Pr1 Pr 0.0000 0.0000 0.5000
Pr2 Pr 0.0000 0.5000 0.5000
Y1 Y 0.0000 0.0000 0.2602
Y2 Y 0.0135 0.5067 0.2463

# GGA-PBE CdRe2As, relaxed
# - Calculated formation energy: 864 meV/atom
# - Crystal system: tetragonal
# - Offset from the most stable computed form: 666 meV/atom
# - Volume: 63.6 Å³/f.u.
# - DOS(E_F): 3.72 states/eV/f.u.
# - Spin magnetization: 0.00 μB/f.u.
data_CdRe2As
_space_group_name_H-M_alt 'P 4/m m m'
_space_group_IT_number 123
_space_group_name_Hall '-P 4 2'
_cell_length_a 4.461
_cell_length_b 4.461
_cell_length_c 3.194
_cell_angle_alpha 90.00
_cell_angle_beta 90.00
_cell_angle_gamma 90.00
loop_
_atom_site_label
_atom_site_type_symbol
_atom_site_fract_x
_atom_site_fract_y
_atom_site_fract_z
Cd1 Cd 0.000 0.000 0.000
Re1 Re 0.000 0.500 0.500
As1 As 0.500 0.500 0.000